# 1
Material: Y4TmSc2
Method: DFT, PBE
State: optimized geometry

Cell: 6.135 8.240 8.969 Å, 95.71 90.02 111.82°
Positions (direct):
Y: 0.000 0.000 0.000
Y: 0.034 0.424 0.068
Y: 0.325 0.000 0.507
Y: 0.428 0.857 0.142
Y: 0.475 0.284 0.216
Y: 0.609 0.562 0.926
Y: 0.717 0.425 0.576
Y: 0.756 0.863 0.647
Tm: 0.276 0.564 0.435
Tm: 0.851 0.718 0.290
Sc: 0.135 0.286 0.715
Sc: 0.190 0.713 0.786
Sc: 0.558 0.137 0.856
Sc: 0.904 0.143 0.363

Calculated values
The raw total energy is -6.122 eV/atom. The density of states at the Fermi level is 26.00 states/eV per cell. The space-group type is P1 (1). For the size of the total moment, the calculation gives 0.0 μB/cell. As for the calculated formation energy: 0.020 eV/atom.

***

# 2
Material: Y2Tm7Sc3
Method: DFT, PBE
State: optimized geometry

Cell: 18.519 18.519 3.483 Å, 90.00 90.00 162.89°
Positions (direct):
Y: 0.149 0.851 0.000
Y: 0.851 0.149 0.000
Tm: 0.000 0.000 0.000
Tm: 0.071 0.929 0.500
Tm: 0.232 0.768 0.000
Tm: 0.409 0.591 0.000
Tm: 0.591 0.409 0.000
Tm: 0.768 0.232 0.000
Tm: 0.929 0.071 0.500
Sc: 0.313 0.687 0.500
Sc: 0.500 0.500 0.500
Sc: 0.687 0.313 0.500

Calculated values
The raw total energy is -5.101 eV/atom. The density of states at the Fermi level is 17.76 states/eV per cell. The space-group type is Cmmm (65). For the size of the total moment, the calculation gives 0.0 μB/cell. As for the calculated formation energy: 0.168 eV/atom.

***

# 3
Material: Y4Tm3Sc2
Method: DFT, PBE
State: optimized geometry

Cell: 9.945 9.945 5.829 Å, 96.25 96.25 70.54°
Positions (direct):
Y: 0.052 0.822 0.968
Y: 0.178 0.948 0.532
Y: 0.182 0.386 0.121
Y: 0.386 0.182 0.621
Y: 0.614 0.818 0.379
Y: 0.818 0.614 0.879
Y: 0.822 0.052 0.468
Y: 0.948 0.178 0.032
Tm: 0.026 0.322 0.581
Tm: 0.322 0.026 0.081
Tm: 0.388 0.612 0.250
Tm: 0.612 0.388 0.750
Tm: 0.678 0.974 0.919
Tm: 0.974 0.678 0.419
Sc: 0.264 0.532 0.696
Sc: 0.468 0.736 0.804
Sc: 0.532 0.264 0.196
Sc: 0.736 0.468 0.304

Calculated values
The raw total energy is -5.662 eV/atom. The density of states at the Fermi level is 30.50 states/eV per cell. The space-group type is C2/c (15). For the size of the total moment, the calculation gives 0.0 μB/cell. As for the calculated formation energy: 0.108 eV/atom.

***

# 4
Material: Y3Tm5Sc
Method: DFT, PBE
State: optimized geometry

Cell: 9.643 9.643 9.643 Å, 127.32 127.32 77.74°
Positions (direct):
Y: 0.118 0.618 0.736
Y: 0.250 0.250 0.000
Y: 0.382 0.118 0.500
Y: 0.618 0.882 0.500
Y: 0.750 0.750 0.000
Y: 0.882 0.382 0.264
Tm: 0.000 0.000 0.000
Tm: 0.064 0.155 0.500
Tm: 0.155 0.655 0.091
Tm: 0.345 0.436 0.500
Tm: 0.436 0.936 0.091
Tm: 0.500 0.500 0.000
Tm: 0.564 0.064 0.909
Tm: 0.655 0.564 0.500
Tm: 0.845 0.345 0.909
Tm: 0.936 0.845 0.500
Sc: 0.250 0.750 0.500
Sc: 0.750 0.250 0.500

Calculated values
The raw total energy is -5.030 eV/atom. The density of states at the Fermi level is 24.19 states/eV per cell. The space-group type is I4/mcm (140). For the size of the total moment, the calculation gives 0.0 μB/cell. As for the calculated formation energy: 0.312 eV/atom.

***

> The lowest density of states at the Fermi level belongs to which entry?

Y2Tm7Sc3